A geometry-optimized TcSbSe2 structure. Source: Alexandria, functional PBE-GGA.

Cell and atoms, written as POSCAR:
```
TcSbSe2
1.0
4.5752 -1.5903 0.0000
4.5752 1.5903 0.0000
-1.6692 0.0000 6.0827
Tc Sb Se
1 1 2
direct
0.0000 0.0000 0.0000
0.3556 0.3556 0.6196
0.5445 0.5445 0.3143
0.6997 0.6997 0.9215
```

**Formation energy without anion corrections**: -0.026 eV per atom